! GGA-PBEsol BeAlSb2, relaxed; values from VASP
&SYSTEM
  ibrav = 0, nat = 4, ntyp = 3
/
ATOMIC_SPECIES
Be 9.01 Be.upf
Sb 121.76 Sb.upf
Al 26.98 Al.upf
CELL_PARAMETERS angstrom
-1.033 -1.479 3.138
3.638 -1.111 0.674
-0.256 6.390 0.840
ATOMIC_POSITIONS crystal
Be 0.278 0.778 0.556
Sb 0.726 0.226 0.452
Sb 0.945 0.945 0.889
Al 0.551 0.551 0.103
! uncorrected formation energy = 0.32 eV/atom
! N(E_F) = 0.3584 states/eV per atom
! energy relative to the lowest polymorph listed for this composition = 0.80 eV per formula unit
! calculated volume = 82.24 Å³/cell

***

! GGA-PBEsol SbTe2As, relaxed; values from VASP
&SYSTEM
  ibrav = 0, nat = 4, ntyp = 3
/
ATOMIC_SPECIES
Te 127.60 Te.upf
Sb 121.76 Sb.upf
As 74.92 As.upf
CELL_PARAMETERS angstrom
-1.387 -0.551 3.288
1.675 -4.911 -0.116
4.540 1.498 2.166
ATOMIC_POSITIONS crystal
Te 0.500 0.000 0.500
Te 0.000 0.000 0.000
Sb 0.000 0.500 0.500
As 0.500 0.500 0.000
! uncorrected formation energy = 0.29 eV/atom
! N(E_F) = 0.6418 states/eV per atom
! energy relative to the lowest polymorph listed for this composition = 0.91 eV per formula unit
! calculated volume = 98.34 Å³/cell

***

! GGA-PBEsol ScPd2Au, relaxed; values from VASP
&SYSTEM
  ibrav = 0, nat = 4, ntyp = 3
/
ATOMIC_SPECIES
Pd 106.42 Pd.upf
Au 196.97 Au.upf
Sc 44.96 Sc.upf
CELL_PARAMETERS angstrom
4.507 0.000 0.000
2.254 3.903 0.000
2.254 1.301 3.680
ATOMIC_POSITIONS crystal
Pd 0.250 0.250 0.250
Pd 0.750 0.750 0.750
Au 0.500 0.500 0.500
Sc 0.000 0.000 0.000
! N(E_F) = 0.5570 states/eV per atom
! calculated volume = 64.74 Å³/cell
! DFT formation energy = -0.72 eV per atom

***

! GGA-PBEsol Nd6Fe13Cu, relaxed; values from VASP
&SYSTEM
  ibrav = 0, nat = 40, ntyp = 3
/
ATOMIC_SPECIES
Nd 144.24 Nd.upf
Fe 55.84 Fe.upf
Cu 63.55 Cu.upf
CELL_PARAMETERS angstrom
-4.368 4.541 -4.727
-6.334 -4.384 1.642
2.984 6.545 10.092
ATOMIC_POSITIONS crystal
Nd 0.353 0.525 0.377
Nd 0.890 0.890 0.780
Nd 0.110 0.110 0.220
Nd 0.525 0.025 0.377
Nd 0.610 0.610 0.220
Nd 0.390 0.390 0.780
Nd 0.975 0.147 0.623
Nd 0.025 0.853 0.377
Nd 0.853 0.353 0.377
Nd 0.647 0.475 0.623
Nd 0.475 0.975 0.623
Nd 0.147 0.647 0.623
Fe 0.790 0.934 0.000
Fe 0.484 0.210 0.194
Fe 0.710 0.984 0.194
Fe 0.066 0.790 0.000
Fe 0.516 0.790 0.806
Fe 0.016 0.516 0.806
Fe 0.434 0.290 0.000
Fe 0.240 0.381 0.121
Fe 0.619 0.119 0.879
Fe 0.984 0.484 0.194
Fe 0.740 0.240 0.121
Fe 0.566 0.710 0.000
Fe 0.119 0.260 0.879
Fe 0.210 0.066 0.000
Fe 0.881 0.740 0.121
Fe 0.934 0.210 0.000
Fe 0.000 0.500 0.000
Fe 0.760 0.619 0.879
Fe 0.710 0.434 0.000
Fe 0.290 0.016 0.806
Fe 0.210 0.710 0.194
Fe 0.290 0.566 0.000
Fe 0.381 0.881 0.121
Fe 0.260 0.760 0.879
Fe 0.790 0.290 0.806
Fe 0.500 0.000 0.000
Cu 0.250 0.250 0.500
Cu 0.750 0.750 0.500
! N(E_F) = 1.1676 states/eV per atom
! calculated volume = 686.87 Å³/cell
! DFT formation energy = 0.03 eV per atom

***

! GGA-PBEsol Mn2TlTcSe, relaxed; values from VASP
&SYSTEM
  ibrav = 0, nat = 5, ntyp = 4
/
ATOMIC_SPECIES
Tc 98.00 Tc.upf
Mn 54.94 Mn.upf
Se 78.96 Se.upf
Tl 204.38 Tl.upf
CELL_PARAMETERS angstrom
-1.564 -2.875 -3.635
3.765 1.450 -2.766
2.895 -3.944 1.874
ATOMIC_POSITIONS crystal
Tc 0.500 0.500 0.500
Mn 0.000 0.500 0.000
Mn 0.500 0.000 0.000
Se 0.000 0.000 0.500
Tl 0.000 0.000 0.000
! uncorrected formation energy = 2.13 eV/atom
! N(E_F) = 1.5111 states/eV per atom
! calculated volume = 125.35 Å³/cell

***

! GGA-PBEsol CaY2Ga2, relaxed; values from VASP
&SYSTEM
  ibrav = 0, nat = 10, ntyp = 3
/
ATOMIC_SPECIES
Ga 69.72 Ga.upf
Y 88.91 Y.upf
Ca 40.08 Ca.upf
CELL_PARAMETERS angstrom
4.023 0.000 0.000
0.000 7.868 0.000
0.000 0.000 7.868
ATOMIC_POSITIONS crystal
Ga 0.000 0.618 0.118
Ga 0.000 0.118 0.382
Ga 0.000 0.882 0.618
Ga 0.000 0.382 0.882
Y 0.500 0.176 0.676
Y 0.500 0.676 0.824
Y 0.500 0.324 0.176
Y 0.500 0.824 0.324
Ca 0.000 0.500 0.500
Ca 0.000 0.000 0.000
! N(E_F) = 1.2854 states/eV per atom
! calculated volume = 249.03 Å³/cell
! DFT formation energy = -0.51 eV per atom

***

! GGA-PBEsol SbRhBr2, relaxed; values from VASP
&SYSTEM
  ibrav = 0, nat = 4, ntyp = 3
/
ATOMIC_SPECIES
Sb 121.76 Sb.upf
Rh 102.91 Rh.upf
Br 79.90 Br.upf
CELL_PARAMETERS angstrom
3.134 0.000 0.000
0.000 3.134 0.000
0.000 0.000 8.950
ATOMIC_POSITIONS crystal
Sb 0.500 0.500 0.500
Rh 0.500 0.500 0.000
Br 0.000 0.000 0.179
Br 0.000 0.000 0.821
! uncorrected formation energy = 0.42 eV/atom
! N(E_F) = 1.1665 states/eV per atom
! energy relative to the lowest polymorph listed for this composition = 3.33 eV per formula unit
! calculated volume = 87.93 Å³/cell

***

! GGA-PBEsol BaRhW2, relaxed; values from VASP
&SYSTEM
  ibrav = 0, nat = 4, ntyp = 3
/
ATOMIC_SPECIES
W 183.84 W.upf
Rh 102.91 Rh.upf
Ba 137.33 Ba.upf
CELL_PARAMETERS angstrom
-0.581 0.716 4.629
-4.333 -0.059 1.872
-1.316 -3.570 2.794
ATOMIC_POSITIONS crystal
W 0.750 0.750 0.750
W 0.000 0.000 0.000
Rh 0.250 0.250 0.250
Ba 0.500 0.500 0.500
! N(E_F) = 0.7933 states/eV per atom
! energy relative to the lowest polymorph listed for this composition = 2.28 eV per formula unit
! calculated volume = 74.37 Å³/cell
! DFT formation energy = 1.19 eV per atom

***

! GGA-PBEsol Mo2PAu, relaxed; values from VASP
&SYSTEM
  ibrav = 0, nat = 4, ntyp = 3
/
ATOMIC_SPECIES
P 30.97 P.upf
Au 196.97 Au.upf
Mo 95.94 Mo.upf
CELL_PARAMETERS angstrom
2.796 0.008 0.012
-0.656 4.878 0.019
-0.656 -2.126 4.390
ATOMIC_POSITIONS crystal
P 0.500 0.000 0.000
Au 0.500 0.500 0.500
Mo 0.000 0.000 0.500
Mo 0.000 0.500 0.000
! N(E_F) = 0.7548 states/eV per atom
! calculated volume = 60.06 Å³/cell
! DFT formation energy = 0.29 eV per atom

***

! GGA-PBEsol ZrP2SF, relaxed; values from VASP
&SYSTEM
  ibrav = 0, nat = 5, ntyp = 4
/
ATOMIC_SPECIES
Zr 91.22 Zr.upf
P 30.97 P.upf
S 32.06 S.upf
F 19.00 F.upf
CELL_PARAMETERS angstrom
-3.165 3.401 -1.154
-3.549 -3.466 -0.481
-1.178 0.537 4.813
ATOMIC_POSITIONS crystal
Zr 0.000 0.000 0.000
P 0.000 0.000 0.500
P 0.000 0.500 0.000
S 0.500 0.000 0.000
F 0.500 0.500 0.500
! uncorrected formation energy = 0.13 eV/atom
! N(E_F) = 0.7425 states/eV per atom
! calculated volume = 118.93 Å³/cell

***

! GGA-PBEsol Co2TeHPt, relaxed; values from VASP
&SYSTEM
  ibrav = 0, nat = 5, ntyp = 4
/
ATOMIC_SPECIES
H 1.01 H.upf
Pt 195.08 Pt.upf
Te 127.60 Te.upf
Co 58.93 Co.upf
CELL_PARAMETERS angstrom
-3.521 2.090 -2.354
1.336 -2.206 -3.957
-2.976 -3.775 1.100
ATOMIC_POSITIONS crystal
H 0.500 0.500 0.500
Pt 0.000 0.000 0.500
Te 0.000 0.000 0.000
Co 0.000 0.500 0.000
Co 0.500 0.000 0.000
! E = -4.1727 eV/atom
! N(E_F) = 1.2224 states/eV per atom
! calculated volume = 110.00 Å³/cell

***

! GGA-PBEsol Li4Ti4Mn4VO18, relaxed; values from VASP
&SYSTEM
  ibrav = 0, nat = 62, ntyp = 5
/
ATOMIC_SPECIES
O 16.00 O.upf
Ti 47.87 Ti.upf
Mn 54.94 Mn.upf
Li 6.94 Li.upf
V 50.94 V.upf
CELL_PARAMETERS angstrom
2.861 0.000 0.000
0.000 9.106 0.000
0.000 0.000 24.212
ATOMIC_POSITIONS crystal
O 0.000 0.027 0.580
O 0.000 0.347 0.257
O 0.000 0.688 0.420
O 0.500 0.349 0.004
O 0.500 0.601 0.204
O 0.000 0.291 0.362
O 0.000 0.527 0.920
O 0.000 0.209 0.862
O 0.000 0.473 0.080
O 0.500 0.151 0.504
O 0.000 0.153 0.757
O 0.500 0.341 0.161
O 0.000 0.188 0.080
O 0.500 0.101 0.296
O 0.500 0.070 0.946
O 0.000 0.847 0.243
O 0.500 0.849 0.496
O 0.500 0.477 0.660
O 0.500 0.430 0.446
O 0.500 0.930 0.054
O 0.000 0.312 0.580
O 0.500 0.399 0.796
O 0.500 0.651 0.996
O 0.500 0.659 0.839
O 0.500 0.159 0.661
O 0.500 0.977 0.840
O 0.500 0.570 0.554
O 0.000 0.791 0.138
O 0.500 0.841 0.339
O 0.000 0.709 0.638
O 0.500 0.023 0.160
O 0.000 0.653 0.743
O 0.000 0.973 0.420
O 0.500 0.899 0.704
O 0.000 0.812 0.920
O 0.500 0.523 0.340
Ti 0.000 0.984 0.101
Ti 0.000 0.016 0.899
Ti 0.500 0.314 0.308
Ti 0.000 0.516 0.601
Ti 0.500 0.186 0.808
Ti 0.000 0.484 0.399
Ti 0.500 0.686 0.692
Ti 0.500 0.814 0.192
Mn 0.000 0.026 0.684
Mn 0.500 0.333 0.083
Mn 0.500 0.833 0.417
Mn 0.000 0.526 0.816
Mn 0.500 0.167 0.583
Mn 0.000 0.474 0.184
Mn 0.500 0.667 0.917
Mn 0.000 0.974 0.316
Li 0.000 0.176 0.192
Li 0.000 0.811 0.008
Li 0.000 0.324 0.692
Li 0.000 0.311 0.492
Li 0.000 0.824 0.808
Li 0.000 0.189 0.992
Li 0.000 0.689 0.508
Li 0.000 0.676 0.308
V 0.000 0.500 0.000
V 0.000 0.000 0.500
! uncorrected formation energy = -2.32 eV/atom
! N(E_F) = 0.2862 states/eV per atom
! calculated volume = 630.85 Å³/cell

***

! GGA-PBEsol Ho7InCo4Ge12, relaxed; values from VASP
&SYSTEM
  ibrav = 0, nat = 24, ntyp = 4
/
ATOMIC_SPECIES
Ge 72.64 Ge.upf
Co 58.93 Co.upf
Ho 164.93 Ho.upf
In 114.82 In.upf
CELL_PARAMETERS angstrom
4.123 0.000 0.000
0.000 10.195 0.000
0.000 0.000 10.195
ATOMIC_POSITIONS crystal
Ge 0.000 0.213 0.486
Ge 0.000 0.486 0.787
Ge 0.500 0.065 0.195
Ge 0.000 0.787 0.514
Ge 0.000 0.887 0.286
Ge 0.500 0.195 0.935
Ge 0.000 0.286 0.113
Ge 0.500 0.935 0.805
Ge 0.000 0.714 0.887
Ge 0.500 0.805 0.065
Ge 0.000 0.514 0.213
Ge 0.000 0.113 0.714
Co 0.000 0.118 0.278
Co 0.000 0.722 0.118
Co 0.000 0.882 0.722
Co 0.000 0.278 0.882
Ho 0.500 0.000 0.500
Ho 0.500 0.678 0.326
Ho 0.500 0.326 0.322
Ho 0.000 0.000 0.000
Ho 0.500 0.500 0.000
Ho 0.500 0.322 0.674
Ho 0.500 0.674 0.678
In 0.000 0.500 0.500
! N(E_F) = 0.4984 states/eV per atom
! calculated volume = 428.61 Å³/cell
! DFT formation energy = -0.76 eV per atom

***

! GGA-PBEsol FeRuW2, relaxed; values from VASP
&SYSTEM
  ibrav = 0, nat = 4, ntyp = 3
/
ATOMIC_SPECIES
Ru 101.07 Ru.upf
W 183.84 W.upf
Fe 55.84 Fe.upf
CELL_PARAMETERS angstrom
-1.427 2.153 -1.675
-1.911 -2.139 -1.122
-3.742 0.998 4.471
ATOMIC_POSITIONS crystal
Ru 0.500 0.500 0.748
W 0.500 0.500 0.276
W 0.000 0.000 0.992
Fe 0.000 0.000 0.485
! N(E_F) = 0.8811 states/eV per atom
! calculated volume = 56.09 Å³/cell
! DFT formation energy = 0.16 eV per atom

***

! GGA-PBEsol Fe5Ni3, relaxed; values from VASP
&SYSTEM
  ibrav = 0, nat = 8, ntyp = 2
/
ATOMIC_SPECIES
Ni 58.69 Ni.upf
Fe 55.84 Fe.upf
CELL_PARAMETERS angstrom
3.509 0.000 0.000
0.000 4.958 -0.030
0.000 -0.120 4.957
ATOMIC_POSITIONS crystal
Ni 0.000 0.500 0.500
Ni 0.500 0.751 0.751
Ni 0.500 0.249 0.249
Fe 0.500 0.745 0.255
Fe 0.000 0.000 0.500
Fe 0.000 0.000 0.000
Fe 0.500 0.255 0.745
Fe 0.000 0.500 0.000
! N(E_F) = 1.1133 states/eV per atom
! calculated volume = 86.23 Å³/cell
! DFT formation energy = 0.02 eV per atom

***

! GGA-PBEsol LaHfSiW2, relaxed; values from VASP
&SYSTEM
  ibrav = 0, nat = 5, ntyp = 4
/
ATOMIC_SPECIES
W 183.84 W.upf
Si 28.09 Si.upf
Hf 178.49 Hf.upf
La 138.91 La.upf
CELL_PARAMETERS angstrom
4.764 0.000 0.000
0.000 4.764 0.000
0.000 0.000 5.055
ATOMIC_POSITIONS crystal
W 0.000 0.500 0.000
W 0.500 0.000 0.000
Si 0.500 0.500 0.500
Hf 0.000 0.000 0.500
La 0.000 0.000 0.000
! uncorrected formation energy = 2.60 eV/atom
! N(E_F) = 1.1424 states/eV per atom
! calculated volume = 114.71 Å³/cell

***

! GGA-PBEsol BeCu3, relaxed; values from VASP
&SYSTEM
  ibrav = 0, nat = 16, ntyp = 2
/
ATOMIC_SPECIES
Cu 63.55 Cu.upf
Be 9.01 Be.upf
CELL_PARAMETERS angstrom
4.800 0.000 0.000
0.000 4.800 0.000
0.000 0.000 7.283
ATOMIC_POSITIONS crystal
Cu 0.000 0.000 0.250
Cu 0.711 0.789 0.500
Cu 0.789 0.289 0.500
Cu 0.289 0.211 0.000
Cu 0.711 0.789 0.000
Cu 0.000 0.000 0.750
Cu 0.500 0.500 0.750
Cu 0.211 0.711 0.000
Cu 0.789 0.289 0.000
Cu 0.500 0.500 0.250
Cu 0.211 0.711 0.500
Cu 0.289 0.211 0.500
Be 0.500 0.000 0.750
Be 0.000 0.500 0.250
Be 0.000 0.500 0.750
Be 0.500 0.000 0.250
! N(E_F) = 0.3321 states/eV per atom
! calculated volume = 167.82 Å³/cell
! DFT formation energy = -0.02 eV per atom

***

! GGA-PBEsol LuPb3, relaxed; values from VASP
&SYSTEM
  ibrav = 0, nat = 4, ntyp = 2
/
ATOMIC_SPECIES
Lu 174.97 Lu.upf
Pb 207.20 Pb.upf
CELL_PARAMETERS angstrom
-0.592 4.594 1.110
-4.052 -1.070 2.264
2.432 -0.663 4.041
ATOMIC_POSITIONS crystal
Lu 0.000 0.000 0.000
Pb 0.000 0.500 0.500
Pb 0.500 0.500 0.000
Pb 0.500 0.000 0.500
! N(E_F) = 0.6340 states/eV per atom
! calculated volume = 108.04 Å³/cell
! DFT formation energy = -0.22 eV per atom

***

! GGA-PBEsol Ca2IrPb, relaxed; values from VASP
&SYSTEM
  ibrav = 0, nat = 4, ntyp = 3
/
ATOMIC_SPECIES
Ca 40.08 Ca.upf
Ir 192.22 Ir.upf
Pb 207.20 Pb.upf
CELL_PARAMETERS angstrom
4.938 0.000 0.000
-2.469 4.295 0.146
0.000 2.698 4.136
ATOMIC_POSITIONS crystal
Ca 0.000 0.000 0.000
Ca 0.250 0.500 0.250
Ir 0.500 0.000 0.500
Pb 0.750 0.500 0.750
! N(E_F) = 0.8250 states/eV per atom
! calculated volume = 85.78 Å³/cell
! DFT formation energy = -0.21 eV per atom

***

! GGA-PBEsol CuTcRh2, relaxed; values from VASP
&SYSTEM
  ibrav = 0, nat = 4, ntyp = 3
/
ATOMIC_SPECIES
Rh 102.91 Rh.upf
Tc 98.00 Tc.upf
Cu 63.55 Cu.upf
CELL_PARAMETERS angstrom
-1.789 1.598 -1.064
-0.587 -2.554 0.142
-3.594 1.266 7.947
ATOMIC_POSITIONS crystal
Rh 0.000 0.000 0.753
Rh 0.000 0.000 0.247
Tc 0.500 0.500 0.500
Cu 0.500 0.500 0.000
! N(E_F) = 1.2685 states/eV per atom
! energy relative to the lowest polymorph listed for this composition = 1.09 eV per formula unit
! calculated volume = 53.81 Å³/cell
! DFT formation energy = 0.21 eV per atom

***

! GGA-PBEsol MgPtS3, relaxed; values from VASP
&SYSTEM
  ibrav = 0, nat = 5, ntyp = 3
/
ATOMIC_SPECIES
S 32.06 S.upf
Pt 195.08 Pt.upf
Mg 24.30 Mg.upf
CELL_PARAMETERS angstrom
-1.037 3.972 2.029
-4.359 -1.343 0.402
0.944 -1.840 4.085
ATOMIC_POSITIONS crystal
S 0.000 0.000 0.500
S 0.000 0.500 0.000
S 0.500 0.000 0.000
Pt 0.500 0.500 0.500
Mg 0.000 0.000 0.000
! uncorrected formation energy = 0.78 eV/atom
! N(E_F) = 1.1796 states/eV per atom
! calculated volume = 95.99 Å³/cell

***

! GGA-PBEsol Ta2B2W, relaxed; values from VASP
&SYSTEM
  ibrav = 0, nat = 10, ntyp = 3
/
ATOMIC_SPECIES
Ta 180.95 Ta.upf
B 10.81 B.upf
W 183.84 W.upf
CELL_PARAMETERS angstrom
-3.073 -1.006 -0.437
1.707 -5.714 1.145
-1.118 0.850 5.908
ATOMIC_POSITIONS crystal
Ta 0.500 0.677 0.823
Ta 0.500 0.177 0.677
Ta 0.500 0.323 0.177
Ta 0.500 0.823 0.323
B 0.000 0.611 0.111
B 0.000 0.389 0.889
B 0.000 0.111 0.389
B 0.000 0.889 0.611
W 0.000 0.000 0.000
W 0.000 0.500 0.500
! N(E_F) = 0.1990 states/eV per atom
! calculated volume = 120.32 Å³/cell
! DFT formation energy = -0.72 eV per atom